VASP calculation (PBE) on a geometry-optimized Ba2NpCuSe6 structure.

Cell and atoms, written as POSCAR:
```
Ba2NpCuSe6
1.0
5.3404 0.0000 0.0000
0.0000 5.3404 0.0000
0.0000 0.0000 10.0524
Se Np Ba Cu
6 1 2 1
Direct
0.5000 0.0000 0.0000
0.5000 0.0000 0.5000
0.5000 0.5000 0.2624
0.5000 0.5000 0.7376
0.0000 0.5000 0.0000
0.0000 0.5000 0.5000
0.5000 0.5000 0.0000
0.0000 0.0000 0.7164
0.0000 0.0000 0.2836
0.5000 0.5000 0.5000
```

SG ... No. 123
M_tot ... 2.05 Bohr magnetons per cell
DOS(E_F) ... 0.86 states/eV per atom
Formation energy without anion corrections ... -1095 meV/atom
Total DFT energy (no corrections) ... -5.274 eV per atom